CaLa2Ru | PBEsol | optimized geometry

a = 3.8029 Å, b = 5.8751 Å, c = 10.3453 Å
α = 90.00°, β = 90.00°, γ = 90.00°
With the nearest neighbours (Å) after each atom.
Space group Immm (No. 71)
One atom of each set of equivalent atoms:
Ca  0.0000  0.0000  0.0000 (multiplicity 2)  4 Ru 3.50, 8 La 3.50-3.78, 2 Ca 3.80
La  0.0000  0.5000  0.1842 (multiplicity 4)  2 Ru 2.69
Ru  0.0000  0.0000  0.5000 (multiplicity 2)  4 La 2.69

Summary:
The formation energy is -79 meV per atom. The raw total energy is -46.63 eV per cell. Its energy above the most stable polymorph in this dataset is 9 meV per atom.

---

Li5Ti6FeO16 | PBEsol | optimized geometry

a = 8.3162 Å, b = 8.3180 Å, c = 8.3284 Å
α = 90.00°, β = 90.04°, γ = 90.00°
With the nearest neighbours (Å) after each atom.
Space group P2_1 (No. 4)
One atom of each set of equivalent atoms:
Li  0.0022  0.0000  0.2482 (multiplicity 2)  4 O 1.96-1.98
Li  0.1237  0.3770  0.3733 (multiplicity 2)  6 O 2.08-2.14
Li  0.2518  0.7581  0.4957 (multiplicity 2)  4 O 1.99-2.00
Li  0.3763  0.6285  0.8761 (multiplicity 2)  6 O 2.07-2.14
Li  0.4960  0.0049  0.7456 (multiplicity 2)  4 O 1.96-1.98
Ti  0.1154  0.1282  0.6083 (multiplicity 2)  4 O 1.83-1.96
Ti  0.1361  0.6251  0.1270 (multiplicity 2)  5 O 1.86-1.98
Ti  0.1361  0.8639  0.8632 (multiplicity 2)  3 O 1.84-1.89
Ti  0.3619  0.3899  0.6174 (multiplicity 2)  5 O 1.85-2.07
Ti  0.3775  0.8731  0.1221 (multiplicity 2)  6 O 1.91-2.05
Ti  0.3801  0.1358  0.3774 (multiplicity 2)  6 O 1.89-2.02
Fe  0.2464  0.2508  0.9986 (multiplicity 2)  4 O 1.88
O  0.1075  0.6267  0.3548 (multiplicity 2)  2 Ti 1.88-1.91, 2 Li 2.00-2.09
O  0.1129  0.3906  0.1164 (multiplicity 2)  1 Fe 1.88, 2 Ti 1.96-2.09
O  0.1164  0.1191  0.8700 (multiplicity 2)  1 Fe 1.88
O  0.1249  0.6451  0.8903 (multiplicity 2)  2 Ti 1.84-1.98, 1 Li 1.98
O  0.1253  0.8961  0.6441 (multiplicity 2)  2 Ti 1.85-1.96, 1 Li 1.99
O  0.1410  0.1271  0.3904 (multiplicity 2)  2 Ti 1.83-1.99, 1 Li 1.96
O  0.1410  0.3611  0.6273 (multiplicity 2)  2 Ti 1.85-1.96, 1 Li 1.96
O  0.1414  0.8621  0.1131 (multiplicity 2)  3 Ti 1.97-2.08, 1 Li 1.98
O  0.3591  0.6428  0.1255 (multiplicity 2)  2 Ti 1.86-1.92, 1 Li 1.98
O  0.3613  0.8800  0.8938 (multiplicity 2)  2 Ti 1.89-1.91, 2 Li 1.96-2.10
O  0.3622  0.1416  0.6083 (multiplicity 2)  3 Ti 1.93-2.07, 1 Li 1.96
O  0.3679  0.1193  0.1365 (multiplicity 2)  1 Fe 1.88, 2 Ti 2.01-2.05
O  0.3751  0.3631  0.3913 (multiplicity 2)  2 Ti 1.89-1.90, 2 Li 1.96-2.10
O  0.3859  0.3710  0.8672 (multiplicity 2)  1 Fe 1.88, 2 Ti 1.97-2.10
O  0.3890  0.6131  0.6282 (multiplicity 2)  2 Ti 1.87-1.93, 2 Li 1.99-2.07
O  0.3921  0.8945  0.3560 (multiplicity 2)  3 Ti 1.96-2.06, 1 Li 2.00

Summary:
The raw total energy is -455.97 eV per cell. Its energy above the most stable polymorph in this dataset is 0 meV per atom.

---

ScZn | PBEsol | optimized geometry

a = 6.1521 Å, b = 4.2953 Å, c = 5.5909 Å
α = 90.00°, β = 90.00°, γ = 90.00°
With the nearest neighbours (Å) after each atom.
Space group Pnma (No. 62)
One atom of each set of equivalent atoms:
Sc  0.1598  0.2500  0.1325 (multiplicity 4)  7 Zn 2.79-2.88
Zn  0.0516  0.2500  0.6331 (multiplicity 4)  2 Zn 2.69, 7 Sc 2.79-2.88

Summary:
The formation energy is -316 meV per atom. The raw total energy is -35.27 eV per cell.

---

ReTeCl2 | PBEsol | optimized geometry

a = 2.9183 Å, b = 5.6108 Å, c = 10.7841 Å
α = 90.00°, β = 90.00°, γ = 90.00°
With the nearest neighbours (Å) after each atom.
Space group Cmmm (No. 65)
One atom of each set of equivalent atoms:
Re  0.0000  0.0000  0.0000 (multiplicity 2)  4 Cl 2.37
Te  0.0000  0.0000  0.5000 (multiplicity 2)  6 Te 2.92-3.16
Cl  0.0000  0.5000  0.1735 (multiplicity 4)  2 Re 2.37

Summary:
The raw total energy is -39.98 eV per cell. Its energy above the most stable polymorph in this dataset is 0 meV per atom.

---

YNiH3 | PBEsol | optimized geometry

a = 3.4768 Å, b = 3.4768 Å, c = 3.4768 Å
α = 90.00°, β = 90.00°, γ = 90.00°
With the nearest neighbours (Å) after each atom.
Space group Pm-3m (No. 221)
One atom of each set of equivalent atoms:
Y  0.0000  0.0000  0.0000 (multiplicity 1)  12 H 2.46
Ni  0.5000  0.5000  0.5000 (multiplicity 1)  6 H 1.74
H  0.0000  0.5000  0.5000 (multiplicity 3)  2 Ni 1.74

Summary:
The raw total energy is -25.61 eV per cell.

---

CaZr2Tc | PBEsol | optimized geometry

a = 3.3334 Å, b = 3.3334 Å, c = 7.9570 Å
α = 90.00°, β = 90.00°, γ = 90.00°
With the nearest neighbours (Å) after each atom.
Space group P4mm (No. 99)
One atom of each set of equivalent atoms:
Ca  0.0000  0.0000  0.0000 (multiplicity 1)  4 Tc 3.10, 1 Zr 3.31, 4 Ca 3.33
Zr  0.0000  0.0000  0.4154 (multiplicity 1)  4 Tc 2.69
Zr  0.5000  0.5000  0.6525 (multiplicity 1)  8 Zr 3.02-3.33, 1 Tc 3.18
Tc  0.5000  0.5000  0.2526 (multiplicity 1)  4 Zr 2.69

Summary:
The formation energy is 148 meV per atom. The raw total energy is -30.99 eV per cell. Its energy above the most stable polymorph in this dataset is 154 meV per atom.

---

Sc2AlPt | PBEsol | optimized geometry

a = 4.5206 Å, b = 4.5206 Å, c = 3.4874 Å
α = 90.00°, β = 90.00°, γ = 90.00°
With the nearest neighbours (Å) after each atom.
Space group P4/mmm (No. 123)
One atom of each set of equivalent atoms:
Sc  0.0000  0.5000  0.0000 (multiplicity 2)  4 Al 2.85, 4 Pt 2.85, 4 Sc 3.20
Al  0.0000  0.0000  0.5000 (multiplicity 1)  8 Sc 2.85, 4 Pt 3.20
Pt  0.5000  0.5000  0.5000 (multiplicity 1)  8 Sc 2.85, 4 Al 3.20

Summary:
The formation energy is -842 meV per atom. The raw total energy is -27.63 eV per cell.

---

CsGaP3HO10 | PBEsol | optimized geometry

a = 9.1130 Å, b = 8.7354 Å, c = 6.2357 Å
α = 90.00°, β = 112.05°, γ = 90.00°
With the nearest neighbours (Å) after each atom.
Space group C2 (No. 5)
One atom of each set of equivalent atoms:
Cs  0.0000  0.0000  0.0000 (multiplicity 2)  8 O 3.05-3.41
Ga  0.0000  0.3354  0.5000 (multiplicity 2)  6 O 1.94-1.98
P  0.0000  0.4315  0.0000 (multiplicity 2)  4 O 1.51-1.59
P  0.1823  0.6175  0.3961 (multiplicity 4)  4 O 1.51-1.64
H  0.0000  0.7483  0.5000 (multiplicity 2)  2 O 1.20
O  0.0521  0.3378  0.8386 (multiplicity 4)  1 P 1.51
O  0.0608  0.7457  0.3588 (multiplicity 4)  1 H 1.20
O  0.1433  0.5419  0.1390 (multiplicity 4)  2 P 1.59-1.64
O  0.1482  0.1690  0.5320 (multiplicity 4)  1 P 1.51
O  0.1663  0.4899  0.5527 (multiplicity 4)  1 P 1.52

Summary:
The raw total energy is -222.91 eV per cell.